# TiNi3Pt4

Crystalline TiNi3Pt4 at its relaxed geometry (GGA-PBE, the Alexandria database).

Geometry as extended XYZ:
```
8
Lattice="-1.937 1.937 7.390 1.937 -1.937 7.390 1.937 1.937 -7.390" Properties=species:S:1:pos:R:3 pbc="T T T"
Ti 0.000 0.000 0.000
Ni 0.000 0.000 3.733
Ni 0.000 0.000 7.390
Ni 0.000 0.000 11.047
Pt 1.937 0.000 1.854
Pt 1.937 0.000 5.536
Pt 0.000 1.937 1.854
Pt 0.000 1.937 5.536
```

- Energy relative to the elements: -0.4550 eV per atom
- VASP energy: -6.63 eV per atom
- N(E_F): 9.96 states/eV/cell
- Offset from the most stable computed form: 0.0000 eV/atom


# Ti2NiPt3

Crystalline Ti2NiPt3 at its relaxed geometry (GGA-PBE, the Alexandria database).

Geometry as extended XYZ:
```
12
Lattice="-2.675 6.550 2.699 2.675 -6.550 2.699 2.675 6.550 -2.699" Properties=species:S:1:pos:R:3 pbc="T T T"
Ti 1.249 2.202 0.000
Ti 1.249 -2.202 2.699
Ti 1.426 8.751 0.000
Ti 1.426 4.348 2.699
Ni 2.675 0.000 1.349
Ni 0.000 6.550 1.349
Pt 3.862 1.870 0.000
Pt 0.000 0.000 1.349
Pt 1.187 4.680 0.000
Pt 1.488 1.870 2.699
Pt 0.000 0.000 4.048
Pt -1.187 4.680 2.699
```

- Energy relative to the elements: -0.6646 eV per atom
- VASP energy: -7.28 eV per atom
- N(E_F): 8.92 states/eV/cell


# Ti6NiPt

Crystalline Ti6NiPt at its relaxed geometry (GGA-PBE, the Alexandria database).

Geometry as extended XYZ:
```
8
Lattice="3.610 -2.763 0.000 3.610 2.763 0.000 -2.783 0.000 7.063" Properties=species:S:1:pos:R:3 pbc="T T T"
Ti 1.827 1.380 1.459
Ti -0.104 0.000 3.256
Ti 2.610 1.380 5.604
Ti 1.827 -1.380 1.459
Ti 4.541 0.000 3.808
Ti 2.610 -1.380 5.604
Ni 2.219 0.000 3.532
Pt 0.000 0.000 0.000
```

- Energy relative to the elements: -0.0682 eV per atom
- VASP energy: -7.47 eV per atom
- N(E_F): 11.41 states/eV/cell


The lowest N(E_F) belongs to which entry?
Ti2NiPt3